# LiTl2VAg | Alexandria | PBE | relaxed
data_LiTl2VAg
_chemical_formula_sum 'Li1 Tl2 V1 Ag1'
_cell_length_a 4.866
_cell_length_b 4.866
_cell_length_c 4.462
_cell_angle_alpha 90.00
_cell_angle_beta 90.00
_cell_angle_gamma 90.00
_symmetry_space_group_name_H-M 'P 4/m m m'
_symmetry_Int_Tables_number 123
_symmetry_space_group_name_Hall '-P 4 2'
loop_
_atom_site_label
_atom_site_type_symbol
_atom_site_fract_x
_atom_site_fract_y
_atom_site_fract_z
Li1 Li 0.000 0.000 0.000
Tl1 Tl 0.000 0.500 0.000
V1 V 0.500 0.500 0.500
Ag1 Ag 0.000 0.000 0.500
# Crystal system: tetragonal
# D(E_F), states/eV per atom: 1.323
# E_tot, eV/atom: -2.883
# E_form, eV/atom: 0.84